Density functional theory data (PBE+U) for crystalline Li4Ti3Fe3Sn2O16 at its relaxed geometry.

Results
energy	-7.00	eV per atom

Cell and atoms, written as POSCAR:
```
Li4Ti3Fe3Sn2O16
1.0
4.0730 -1.2721 -4.2602
5.0723 3.2321 -0.4266
4.5808 -6.2020 6.0929
Li Ti Fe Sn O
4 3 3 2 16
direct
0.6627 0.6627 0.1030 Li
0.0013 0.0013 0.0076 Li
0.0026 0.0026 0.5081 Li
0.3287 0.3287 0.6014 Li
0.1705 0.1705 0.2814 Ti
0.8329 0.3412 0.7852 Ti
0.3412 0.8329 0.7852 Ti
0.8290 0.8290 0.7872 Fe
0.6609 0.1698 0.2875 Fe
0.1698 0.6609 0.2875 Fe
0.6686 0.6686 0.5073 Sn
0.3406 0.3406 0.0096 Sn
0.8409 0.3267 0.3975 O
0.5164 0.5164 0.6659 O
0.6505 0.6505 0.8958 O
0.0112 0.0112 0.6942 O
0.0045 0.0045 0.1935 O
0.3267 0.8409 0.3975 O
0.9601 0.5020 0.6570 O
0.5020 0.9601 0.6570 O
0.1679 0.1679 0.8965 O
0.8412 0.8412 0.4029 O
0.4752 0.0350 0.1609 O
0.0350 0.4752 0.1609 O
0.3244 0.3244 0.3940 O
0.6811 0.1730 0.9022 O
0.4814 0.4814 0.1633 O
0.1730 0.6811 0.9022 O
```